(1)
Material: Ag2O3
Method: DFT, meta-GGA SCAN
State: single point on PBEsol structure

Properties
Magnetization, μB per atom: 0.0002
Crystal system: orthorhombic
Raw formation energy, meV per atom: -91
Space group: Fdd2, No. 43

Cell lengths 6.661, 5.535, 8.258 Å; angles 53.43, 41.87, 84.70 degrees
Fractional positions:
Ag  0.179  0.821  0.414
Ag  0.664  0.836  0.429
Ag  0.821  0.179  0.586
Ag  0.836  0.664  0.071
O  0.034  0.731  0.301
O  0.316  0.949  0.519
O  0.412  0.412  0.588
O  0.662  0.662  0.838
O  0.731  0.034  0.934
O  0.949  0.316  0.216

(2)
Material: AgO
Method: DFT, meta-GGA SCAN
State: single point on PBEsol structure

Properties
Magnetization, μB per atom: 0.0000
Crystal system: tetragonal
Raw formation energy, meV per atom: -179
Space group: I4_1/a, No. 88

Cell lengths 6.640, 6.640, 6.640 Å; angles 118.84, 118.84, 92.02 degrees
Fractional positions:
Ag  0.000  0.000  0.000
Ag  0.000  0.000  0.500
Ag  0.000  0.500  0.000
Ag  0.000  0.500  0.500
Ag  0.500  0.000  0.000
Ag  0.500  0.000  0.500
Ag  0.500  0.500  0.000
Ag  0.500  0.500  0.500
O  0.206  0.795  0.923
O  0.218  0.294  0.089
O  0.295  0.872  0.589
O  0.372  0.282  0.577
O  0.628  0.718  0.423
O  0.705  0.128  0.411
O  0.782  0.706  0.911
O  0.794  0.205  0.077

(3)
Material: AgO
Method: DFT, meta-GGA SCAN
State: single point on PBEsol structure

Properties
Magnetization, μB per atom: 0.0000
Crystal system: monoclinic
Raw formation energy, meV per atom: -182
Space group: P2_1/c, No. 14

Cell lengths 5.728, 3.528, 5.510 Å; angles 90.00, 107.77, 90.00 degrees
Fractional positions:
Ag  0.000  0.000  0.000
Ag  0.000  0.500  0.500
Ag  0.500  0.000  0.500
Ag  0.500  0.500  0.000
O  0.210  0.166  0.782
O  0.210  0.334  0.282
O  0.790  0.666  0.718
O  0.790  0.834  0.218

(4)
Material: AgO
Method: DFT, meta-GGA SCAN
State: single point on PBEsol structure

Properties
Magnetization, μB per atom: 0.0001
Crystal system: tetragonal
Raw formation energy, meV per atom: -184
Space group: P4_2/mmc, No. 131

Cell lengths 3.220, 3.220, 5.492 Å; angles 90.00, 90.00, 90.00 degrees
Fractional positions:
Ag  0.000  0.500  0.000
Ag  0.500  0.000  0.500
O  0.000  0.000  0.250
O  0.000  0.000  0.750

(5)
Material: Ag13OsO6
Method: DFT, meta-GGA SCAN
State: single point on PBEsol structure

Properties
Magnetization, μB per atom: 0.0000
Crystal system: cubic
Raw formation energy, meV per atom: -304
Space group: Fm-3c, No. 226

Cell lengths 9.252, 9.252, 9.252 Å; angles 60.00, 60.00, 60.00 degrees
Fractional positions:
Ag  0.000  0.000  0.000
Ag  0.064  0.292  0.708
Ag  0.064  0.708  0.936
Ag  0.064  0.936  0.292
Ag  0.208  0.436  0.792
Ag  0.208  0.564  0.436
Ag  0.208  0.792  0.564
Ag  0.292  0.064  0.936
Ag  0.292  0.708  0.064
Ag  0.292  0.936  0.708
Ag  0.436  0.208  0.564
Ag  0.436  0.564  0.792
Ag  0.436  0.792  0.208
Ag  0.500  0.500  0.500
Ag  0.564  0.208  0.792
Ag  0.564  0.436  0.208
Ag  0.564  0.792  0.436
Ag  0.708  0.064  0.292
Ag  0.708  0.292  0.936
Ag  0.708  0.936  0.064
Ag  0.792  0.208  0.436
Ag  0.792  0.436  0.564
Ag  0.792  0.564  0.208
Ag  0.936  0.064  0.708
Ag  0.936  0.292  0.064
Ag  0.936  0.708  0.292
Os  0.250  0.250  0.250
Os  0.750  0.750  0.750
O  0.104  0.104  0.396
O  0.104  0.396  0.104
O  0.104  0.396  0.396
O  0.396  0.104  0.104
O  0.396  0.104  0.396
O  0.396  0.396  0.104
O  0.604  0.604  0.896
O  0.604  0.896  0.604
O  0.604  0.896  0.896
O  0.896  0.604  0.604
O  0.896  0.604  0.896
O  0.896  0.896  0.604

(6)
Material: AgPOsO2
Method: DFT, meta-GGA SCAN
State: single point on PBEsol structure

Properties
Magnetization, μB per atom: 0.0000
Crystal system: tetragonal
Raw formation energy, meV per atom: -334
Space group: P4/mmm, No. 123

Cell lengths 3.710, 3.710, 5.146 Å; angles 90.00, 90.00, 90.00 degrees
Fractional positions:
Ag  0.000  0.000  0.000
P  0.500  0.500  0.000
Os  0.500  0.500  0.500
O  0.000  0.500  0.500
O  0.500  0.000  0.500

(7)
Material: AgP2O2
Method: DFT, meta-GGA SCAN
State: single point on PBEsol structure

Properties
Magnetization, μB per atom: 0.0000
Crystal system: tetragonal
Raw formation energy, meV per atom: 724
Space group: P4/mmm, No. 123
Energy above the lowest structure with this stoichiometry, kJ/mol of atoms: 117.03

Cell lengths 3.894, 3.894, 4.166 Å; angles 90.00, 90.00, 90.00 degrees
Fractional positions:
Ag  0.000  0.000  0.000
P  0.000  0.500  0.500
P  0.500  0.000  0.500
O  0.500  0.500  0.000
O  0.500  0.500  0.500

(8)
Material: AgPO4
Method: DFT, meta-GGA SCAN
State: single point on PBEsol structure

Properties
Magnetization, μB per atom: 0.0000
Crystal system: triclinic
Raw formation energy, meV per atom: -1303
Space group: P-1, No. 2

Cell lengths 4.959, 9.550, 15.061 Å; angles 99.00, 98.80, 104.64 degrees
Fractional positions:
Ag  0.000  0.000  0.000
Ag  0.000  0.500  0.500
Ag  0.365  0.246  0.533
Ag  0.384  0.732  0.025
Ag  0.420  0.759  0.246
Ag  0.580  0.241  0.754
Ag  0.616  0.268  0.975
Ag  0.635  0.754  0.467
P  0.126  0.918  0.389
P  0.193  0.403  0.883
P  0.380  0.415  0.365
P  0.410  0.926  0.866
P  0.590  0.074  0.134
P  0.620  0.585  0.635
P  0.807  0.597  0.117
P  0.874  0.082  0.611
O  0.001  0.639  0.213
O  0.083  0.383  0.392
O  0.095  0.307  0.950
O  0.150  0.081  0.428
O  0.209  0.154  0.642
O  0.223  0.829  0.456
O  0.234  0.570  0.913
O  0.247  0.850  0.772
O  0.255  0.882  0.948
O  0.277  0.923  0.307
O  0.298  0.104  0.111
O  0.374  0.329  0.273
O  0.421  0.619  0.550
O  0.434  0.095  0.870
O  0.493  0.378  0.868
O  0.494  0.419  0.638
O  0.506  0.581  0.362
O  0.507  0.622  0.132
O  0.566  0.905  0.130
O  0.579  0.381  0.450
O  0.626  0.671  0.727
O  0.702  0.896  0.889
O  0.723  0.077  0.693
O  0.745  0.118  0.052
O  0.753  0.150  0.228
O  0.766  0.430  0.087
O  0.777  0.171  0.544
O  0.791  0.846  0.358
O  0.850  0.919  0.572
O  0.905  0.693  0.050
O  0.917  0.617  0.608
O  0.999  0.361  0.787

(9)
Material: AgP2O2
Method: DFT, meta-GGA SCAN
State: single point on PBEsol structure

Properties
Magnetization, μB per atom: 0.0000
Crystal system: tetragonal
Raw formation energy, meV per atom: -489
Space group: P4/mmm, No. 123
Energy above the lowest structure with this stoichiometry, kJ/mol of atoms: 0.00

Cell lengths 3.437, 3.437, 4.939 Å; angles 90.00, 90.00, 90.00 degrees
Fractional positions:
Ag  0.000  0.000  0.000
P  0.500  0.500  0.000
P  0.500  0.500  0.500
O  0.000  0.500  0.500
O  0.500  0.000  0.500

(10)
Material: AgP2O2
Method: DFT, meta-GGA SCAN
State: single point on PBEsol structure

Properties
Magnetization, μB per atom: 0.0000
Crystal system: tetragonal
Raw formation energy, meV per atom: 873
Space group: P4/mmm, No. 123
Energy above the lowest structure with this stoichiometry, kJ/mol of atoms: 131.39

Cell lengths 3.849, 3.849, 4.874 Å; angles 90.00, 90.00, 90.00 degrees
Fractional positions:
Ag  0.000  0.000  0.000
P  0.000  0.000  0.500
P  0.500  0.500  0.500
O  0.000  0.500  0.000
O  0.500  0.000  0.000

(11)
Material: AgPPbO2
Method: DFT, meta-GGA SCAN
State: single point on PBEsol structure

Properties
Magnetization, μB per atom: 0.1854
Crystal system: tetragonal
Raw formation energy, meV per atom: 386
Space group: P4/mmm, No. 123

Cell lengths 4.056, 4.056, 5.599 Å; angles 90.00, 90.00, 90.00 degrees
Fractional positions:
Ag  0.000  0.000  0.000
P  0.500  0.500  0.000
Pb  0.500  0.500  0.500
O  0.000  0.500  0.500
O  0.500  0.000  0.500

(12)
Material: Ag2P2PbO7
Method: DFT, meta-GGA SCAN
State: single point on PBEsol structure

Properties
Magnetization, μB per atom: 0.0000
Crystal system: triclinic
Raw formation energy, meV per atom: -1767
Space group: P-1, No. 2

Cell lengths 5.284, 6.821, 10.258 Å; angles 72.85, 88.49, 69.07 degrees
Fractional positions:
Ag  0.161  0.203  0.027
Ag  0.234  0.954  0.832
Ag  0.766  0.046  0.168
Ag  0.839  0.797  0.973
P  0.393  0.596  0.163
P  0.393  0.830  0.359
P  0.607  0.170  0.641
P  0.607  0.404  0.837
Pb  0.002  0.649  0.633
Pb  0.998  0.351  0.367
O  0.161  0.527  0.131
O  0.213  0.062  0.266
O  0.302  0.224  0.659
O  0.308  0.659  0.304
O  0.325  0.793  0.507
O  0.332  0.597  0.800
O  0.411  0.801  0.057
O  0.589  0.199  0.943
O  0.668  0.403  0.200
O  0.675  0.207  0.493
O  0.692  0.341  0.696
O  0.698  0.776  0.341
O  0.787  0.938  0.734
O  0.839  0.473  0.869

Number 7 is which compound?
AgP2O2

Among the records above, which one has the highest raw formation energy?
number 10

Among the records above, which one has the highest raw formation energy?
number 10

Which formula does entry 9 have?
AgP2O2